Record 1
First-principles (GGA-PBE) data for a relaxed AcCrN3 crystal, as listed in the Alexandria database.

Results
Total energy   -8.54 eV/atom
Total moment   0.0 μB/cell
Uncorrected formation energy   -0.803 eV per atom

Cell and atoms, written as extended XYZ:
```
20
Lattice="5.163 -5.337 0.000 5.163 5.337 0.000 -1.537 0.000 5.835" Properties=species:S:1:pos:R:3 pbc="T T T"
Ac 4.010 4.271 4.376
Ac 4.778 1.713 1.459
Ac 4.010 -1.713 4.376
Ac 4.778 -4.271 1.459
Cr 1.807 0.908 4.309
Cr 2.575 -0.908 1.391
Cr 6.213 0.908 4.444
Cr 6.982 -0.908 1.526
N 0.192 1.218 3.889
N 2.509 2.301 4.867
N 0.961 -1.218 0.971
N 2.709 0.228 2.808
N 1.940 -0.228 5.725
N 5.511 2.301 3.886
N 3.277 -2.301 1.949
N 6.848 0.228 0.110
N 6.079 -0.228 3.027
N 7.828 1.218 4.864
N 6.280 -2.301 0.968
N 8.596 -1.218 1.946
```



Record 2
First-principles (GGA-PBE) data for a relaxed AcCrN3 crystal, as listed in the Alexandria database.

Results
Total energy   -8.45 eV/atom
Total moment   0.0 μB/cell
Uncorrected formation energy   -0.706 eV per atom

Cell and atoms, written as extended XYZ:
```
5
Lattice="2.806 1.620 2.397 -2.806 1.620 2.397 0.000 -3.240 2.397" Properties=species:S:1:pos:R:3 pbc="T T T"
Ac 0.000 0.000 0.000
Cr 0.000 0.000 3.403
N -1.364 -0.788 2.716
N 1.364 -0.788 2.716
N 0.000 1.576 2.716
```



Record 3
First-principles (GGA-PBE) data for a relaxed Ac2Cr2N5 crystal, as listed in the Alexandria database.

Results
Total energy   -8.43 eV/atom
Total moment   2.9 μB/cell
Uncorrected formation energy   -0.757 eV per atom

Cell and atoms, written as extended XYZ:
```
9
Lattice="5.425 -2.027 0.000 5.425 2.027 0.000 -1.702 0.000 5.917" Properties=species:S:1:pos:R:3 pbc="T T T"
Ac 0.502 0.000 1.807
Ac 8.645 0.000 4.110
Cr 3.540 0.000 0.642
Cr 5.608 0.000 5.276
N 0.227 0.000 5.641
N 3.125 0.000 2.338
N 5.425 0.000 0.000
N 6.023 0.000 3.579
N 8.921 0.000 0.276
```



Record 4
First-principles (GGA-PBE) data for a relaxed Ac12Cr3N5 crystal, as listed in the Alexandria database.

Results
Total energy   -6.28 eV/atom
Total moment   45.3 μB/cell
Uncorrected formation energy   -0.294 eV per atom

Cell and atoms, written as extended XYZ:
```
80
Lattice="-8.559 8.559 8.559 8.559 -8.559 8.559 8.559 8.559 -8.559" Properties=species:S:1:pos:R:3 pbc="T T T"
Ac 2.550 -0.622 0.866
Ac 10.289 5.145 -4.901
Ac 11.109 0.622 0.866
Ac 10.289 -3.414 4.901
Ac 7.938 -0.866 2.550
Ac 13.460 -1.730 3.414
Ac 0.866 2.550 -0.622
Ac 11.973 3.658 -1.730
Ac 5.145 4.901 -1.730
Ac 7.693 2.550 0.622
Ac -0.622 0.866 2.550
Ac 4.901 -1.730 5.145
Ac 7.938 7.693 -2.550
Ac 4.901 1.730 3.414
Ac 5.145 -4.901 10.289
Ac 7.693 -2.550 7.938
Ac 3.414 4.901 1.730
Ac 9.425 6.009 0.622
Ac 4.901 10.289 -3.414
Ac 7.938 0.866 6.009
Ac 2.550 7.938 -0.866
Ac 10.289 3.414 3.658
Ac 1.730 3.414 4.901
Ac 2.550 0.622 7.693
Ac 6.009 7.938 0.866
Ac 6.830 5.145 3.658
Ac -1.730 5.145 4.901
Ac 6.009 0.622 9.425
Ac 0.622 7.693 2.550
Ac 3.658 -1.730 11.973
Ac -0.866 2.550 7.938
Ac 5.145 3.658 6.830
Ac 0.866 11.109 0.622
Ac 3.414 13.460 -1.730
Ac 3.658 6.830 5.145
Ac 0.622 0.866 11.109
Ac 3.658 10.289 3.414
Ac 9.181 7.693 6.009
Ac 0.866 6.009 7.938
Ac 3.414 3.658 10.289
Ac -3.414 4.901 10.289
Ac 7.693 6.009 9.181
Ac -4.901 10.289 5.145
Ac 0.622 9.425 6.009
Ac -1.730 11.973 3.658
Ac -2.550 7.938 7.693
Ac -1.730 3.414 13.460
Ac 6.009 9.181 7.693
Cr 4.280 2.140 0.000
Cr 8.559 4.280 -2.140
Cr 2.140 0.000 4.280
Cr 10.699 0.000 4.280
Cr 0.000 4.280 2.140
Cr 4.280 -2.140 8.559
Cr 4.280 10.699 0.000
Cr 8.559 4.280 6.419
Cr -2.140 8.559 4.280
Cr 6.419 8.559 4.280
Cr 0.000 4.280 10.699
Cr 4.280 6.419 8.559
N 0.000 0.000 0.000
N 4.280 4.280 -4.280
N 4.280 -4.280 4.280
N 8.559 0.000 0.000
N 12.839 2.140 0.000
N 8.559 -4.280 6.419
N 6.419 8.559 -4.280
N 6.419 0.000 4.280
N 4.280 6.419 0.000
N 8.559 4.280 2.140
N -4.280 4.280 4.280
N 0.000 8.559 0.000
N 0.000 0.000 8.559
N 4.280 4.280 4.280
N 0.000 4.280 6.419
N 4.280 2.140 8.559
N 2.140 8.559 4.280
N 2.140 0.000 12.839
N 0.000 12.839 2.140
N -4.280 6.419 8.559
```